BaIrCl after structural relaxation, computed with PBE-GGA.

Summary:
Energy above the most stable polymorph in this dataset = 1261 meV per atom
Energy relative to the elements, uncorrected = 0.075 eV per atom

a = 4.8602 Å, b = 4.8602 Å, c = 6.6188 Å
α = 90.00°, β = 90.00°, γ = 90.00°
Last column: nearest neighbours and their distance in Å.
Fractional positions:
Ba1 0.2500 0.2500 0.1714  6 Ir 3.24-3.57, 4 Cl 3.26
Ba2 0.7500 0.7500 0.8286  6 Ir 3.24-3.57, 4 Cl 3.26
Ir1 0.2500 0.2500 0.6823  4 Cl 2.71
Ir2 0.7500 0.7500 0.3177  4 Cl 2.71
Cl1 0.2500 0.7500 0.5000  4 Ir 2.71
Cl2 0.7500 0.2500 0.5000  4 Ir 2.71

=====

FeAg2Os after structural relaxation, computed with PBE-GGA.

Summary:
Energy above the most stable polymorph in this dataset = 347 meV per atom

a = 2.6422 Å, b = 4.3748 Å, c = 5.3847 Å
α = 90.00°, β = 90.00°, γ = 90.00°
Last column: nearest neighbours and their distance in Å.
Fractional positions:
Fe1 0.0000 0.0000 0.0000  2 Fe 2.64, 2 Os 2.69, 8 Ag 2.89
Ag1 0.5000 0.5000 0.2488  4 Ag 2.64-2.71, 4 Fe 2.89, 4 Os 2.89
Ag2 0.5000 0.5000 0.7512  4 Ag 2.64-2.71, 4 Fe 2.89, 4 Os 2.89
Os1 0.0000 0.0000 0.5000  2 Os 2.64, 2 Fe 2.69, 8 Ag 2.89

=====

NdHo2Mg after structural relaxation, computed with PBE-GGA.

Summary:
Energy above the most stable polymorph in this dataset = 44 meV per atom

a = 11.3494 Å, b = 11.3494 Å, c = 11.3494 Å
α = 18.02°, β = 18.02°, γ = 18.02°
Last column: nearest neighbours and their distance in Å.
Fractional positions:
Nd1 0.0000 0.0000 0.0000  6 Nd 3.55, 6 Ho 3.58
Ho1 0.2456 0.2456 0.2456  3 Mg 3.35, 6 Ho 3.55, 3 Nd 3.58
Ho2 0.7544 0.7544 0.7544  3 Mg 3.35, 6 Ho 3.55, 3 Nd 3.58
Mg1 0.5000 0.5000 0.5000  6 Ho 3.35, 6 Mg 3.55

=====

YMg2CuH after structural relaxation, computed with PBE-GGA.

a = 4.3330 Å, b = 4.3330 Å, c = 4.6299 Å
α = 90.00°, β = 90.00°, γ = 90.00°
Last column: nearest neighbours and their distance in Å.
Fractional positions:
Y1 0.0000 0.0000 0.0000  2 H 2.31
Mg1 0.0000 0.5000 0.5000  2 H 2.17
Mg2 0.5000 0.0000 0.5000  2 H 2.17
Cu1 0.5000 0.5000 0.0000  4 Y 3.06, 8 Mg 3.17
H1 0.0000 0.0000 0.5000  4 Mg 2.17, 2 Y 2.31

=====

AgSb4P after structural relaxation, computed with PBE-GGA.

Summary:
Energy relative to the elements, uncorrected = 0.707 eV per atom

a = 6.1251 Å, b = 6.1251 Å, c = 6.1251 Å
α = 60.00°, β = 60.00°, γ = 60.00°
Last column: nearest neighbours and their distance in Å.
Fractional positions:
Ag1 0.0000 0.0000 0.0000  12 Sb 3.59, 4 P 3.75
Sb1 0.3753 0.3753 0.3753  6 Sb 3.05-3.07
Sb2 0.3753 0.3753 0.8740  6 Sb 3.05-3.07
Sb3 0.3753 0.8740 0.3753  6 Sb 3.05-3.07
Sb4 0.8740 0.3753 0.3753  6 Sb 3.05-3.07
P1 0.7500 0.7500 0.7500  12 Sb 3.59, 4 Ag 3.75

=====

Sm3Dy6Er2Th after structural relaxation, computed with PBE-GGA.

a = 6.1690 Å, b = 6.1690 Å, c = 11.8061 Å
α = 95.01°, β = 95.01°, γ = 119.97°
Last column: nearest neighbours and their distance in Å.
Fractional positions:
Sm1 0.0000 0.0000 0.0000  6 Sm 3.56-3.57, 6 Dy 3.58-3.60
Sm2 0.3329 0.6671 0.0000  6 Sm 3.56-3.57, 6 Dy 3.58-3.60
Sm3 0.6671 0.3329 0.0000  6 Sm 3.56-3.57, 6 Dy 3.58-3.60
Dy1 0.0867 0.4170 0.2530  1 Th 3.52, 6 Dy 3.53-3.58, 2 Er 3.54, 3 Sm 3.58-3.60
Dy2 0.2527 0.2527 0.7470  1 Th 3.52, 6 Dy 3.53-3.58, 2 Er 3.54, 3 Sm 3.58-3.60
Dy3 0.4170 0.0867 0.2530  1 Th 3.52, 6 Dy 3.53-3.58, 2 Er 3.54, 3 Sm 3.58-3.60
Dy4 0.5830 0.9133 0.7470  1 Th 3.52, 6 Dy 3.53-3.58, 2 Er 3.54, 3 Sm 3.58-3.60
Dy5 0.7473 0.7473 0.2530  1 Th 3.52, 6 Dy 3.53-3.58, 2 Er 3.54, 3 Sm 3.58-3.60
Dy6 0.9133 0.5830 0.7470  1 Th 3.52, 6 Dy 3.53-3.58, 2 Er 3.54, 3 Sm 3.58-3.60
Er1 0.1667 0.8333 0.5000  6 Dy 3.54, 3 Th 3.56, 3 Er 3.56
Er2 0.8333 0.1667 0.5000  6 Dy 3.54, 3 Th 3.56, 3 Er 3.56
Th1 0.5000 0.5000 0.5000  6 Dy 3.52, 6 Er 3.56

=====

no.,density (g/cm³),calculated total energy (eV/atom)
1,7.75,-4.1355
2,12.32,-5.6872
3,6.78,-3.8644
4,3.86,-3.5221
5,6.40,-3.4176
6,8.63,-4.8391